(1)
Crystalline Tb3Pr2PuTe6 at its relaxed geometry. Source: Alexandria via LeMat-Bulk, functional GGA-PBE.

The symmetry is C2/m (12). As for the formation energy without anion corrections: -1.3334 eV/atom. For the total magnetic moment, the calculation gives 6.090 μB per formula unit.

Geometry as POSCAR:
```
Tb3Pr2PuTe6
1.0
9.691 -2.203 0.000
9.691 2.203 0.000
-2.141 0.000 8.672
Tb Pr Pu Te
3 2 1 6
Direct
0.000 0.000 0.000
0.331 0.331 0.664
0.669 0.669 0.336
0.333 0.333 0.166
0.667 0.667 0.834
0.000 0.000 0.500
0.164 0.164 0.091
0.166 0.166 0.576
0.497 0.497 0.751
0.503 0.503 0.249
0.834 0.834 0.424
0.836 0.836 0.909
```

(2)
Crystalline TbPr3Pu2Te6 at its relaxed geometry. Source: Alexandria via LeMat-Bulk, functional GGA-PBE.

The symmetry is C2/m (12). As for the formation energy without anion corrections: -1.3197 eV/atom. For the total magnetic moment, the calculation gives 11.855 μB per formula unit.

Geometry as POSCAR:
```
TbPr3Pu2Te6
1.0
9.766 -2.223 0.000
9.766 2.223 0.000
-2.148 0.000 8.728
Tb Pr Pu Te
1 3 2 6
Direct
0.000 0.000 0.000
0.000 0.000 0.500
0.333 0.333 0.166
0.667 0.667 0.834
0.334 0.334 0.667
0.666 0.666 0.333
0.163 0.163 0.088
0.169 0.169 0.579
0.499 0.499 0.758
0.501 0.501 0.242
0.831 0.831 0.421
0.837 0.837 0.912
```

(3)
Crystalline TbPr2Pu3Te6 at its relaxed geometry. Source: Alexandria via LeMat-Bulk, functional GGA-PBE.

The symmetry is C2/m (12). As for the formation energy without anion corrections: -1.2571 eV/atom. For the total magnetic moment, the calculation gives 5.775 μB per formula unit.

Geometry as POSCAR:
```
TbPr2Pu3Te6
1.0
9.702 -2.222 0.000
9.702 2.222 0.000
-2.001 0.000 8.705
Tb Pr Pu Te
1 2 3 6
Direct
0.000 0.000 0.000
0.333 0.333 0.663
0.667 0.667 0.337
0.000 0.000 0.500
0.331 0.331 0.164
0.669 0.669 0.836
0.165 0.165 0.078
0.165 0.165 0.590
0.498 0.498 0.245
0.502 0.502 0.755
0.835 0.835 0.410
0.835 0.835 0.922
```

(4)
Crystalline TbPr2PuTe5 at its relaxed geometry. Source: Alexandria via LeMat-Bulk, functional GGA-PBE.

The symmetry is P4/mmm (123). As for the formation energy without anion corrections: -0.7578 eV/atom. For the total magnetic moment, the calculation gives 5.924 μB per formula unit.

Geometry as POSCAR:
```
TbPr2PuTe5
1.0
5.536 0.000 0.000
0.000 5.536 0.000
0.000 0.000 11.796
Tb Pr Pu Te
1 2 1 5
Direct
0.000 0.000 0.000
0.500 0.500 0.173
0.500 0.500 0.827
0.000 0.000 0.500
0.000 0.000 0.249
0.000 0.000 0.751
0.000 0.500 0.000
0.500 0.000 0.000
0.500 0.500 0.500
```